## BeCrF3 (GGA+U)

Data for crystalline BeCrF3 at its relaxed geometry.

Polymorph energy (0 for the lowest one) ... 762 meV per atom
Total energy ... -4.79 eV/atom

Cell lengths 4.083, 4.083, 4.083 Å; angles 90.00, 90.00, 90.00 degrees
Site moments in Bohr magnetons follow the coordinates.
Atoms (fractional coordinates):
Cr 0.000 0.000 0.000  3.54
Be 0.500 0.500 0.500  0.24
F 0.000 0.500 0.000  0.02
F 0.000 0.000 0.500  0.01
F 0.500 0.000 0.000  0.01